First-principles (PBE-GGA) data for a geometry-optimized TaAl2Pt3 structure, as listed in the Alexandria database.

Cell: 3.029 3.029 10.024 Å, 90.00 90.00 90.00°
Space group P4/mmm (No. 123)
Unique sites:
Ta: 0.000 0.000 0.000 (multiplicity 1)
Al: 0.000 0.000 0.343 (multiplicity 2)
Pt: 0.500 0.500 0.191 (multiplicity 2)
Pt: 0.500 0.500 0.500 (multiplicity 1)

Results
formation energy = -0.834 eV/atom
crystal system = tetragonal